(1)
# PBE Li2PmBiTe4, relaxed
# E_form (uncorrected) = -7.219 eV/f.u.
data_Li2PmBiTe4
_cell_length_a 7.526
_cell_length_b 4.434
_cell_length_c 7.679
_cell_angle_alpha 90.00
_cell_angle_beta 109.85
_cell_angle_gamma 90.00
_symmetry_space_group_name_H-M 'P 1 2/m 1'
_symmetry_Int_Tables_number 10
loop_
_symmetry_equiv_pos_as_xyz
'x,y,z'
'-x,-y,-z'
'-x,y,-z'
'x,-y,z'
loop_
_atom_site_label
_atom_site_fract_x
_atom_site_fract_y
_atom_site_fract_z
Li1 0.000 0.000 0.000
Li2 0.000 0.500 0.500
Pm1 0.500 0.000 0.500
Bi1 0.500 0.500 0.000
Te1 0.236 0.000 0.747
Te2 0.239 0.500 0.245

(2)
# PBE CsBaLi, relaxed
# excess energy over the best structure of this formula in the dataset = 0 meV per atom
# DOS(E_F) = 10.61 states/eV per cell
# calculated formation energy = 99 meV/atom
data_CsBaLi
_cell_length_a 6.887
_cell_length_b 6.888
_cell_length_c 16.332
_cell_angle_alpha 90.00
_cell_angle_beta 90.33
_cell_angle_gamma 90.00
_symmetry_space_group_name_H-M 'C 1 2/m 1'
_symmetry_Int_Tables_number 12
loop_
_symmetry_equiv_pos_as_xyz
'x,y,z'
'-x,-y,-z'
'-x,y,-z'
'x,-y,z'
'x+1/2,y+1/2,z'
'-x+1/2,-y+1/2,-z'
'-x+1/2,y+1/2,-z'
'x+1/2,-y+1/2,z'
loop_
_atom_site_label
_atom_site_fract_x
_atom_site_fract_y
_atom_site_fract_z
Cs1 0.246 0.000 0.140
Ba1 0.249 0.000 0.417
Li1 0.247 0.500 0.316

(3)
# PBE Pr2P3Rh4Au, relaxed
# DOS(E_F) = 3.12 states/eV per cell
# calculated formation energy = -879 meV/atom
data_Pr2P3Rh4Au
_cell_length_a 4.069
_cell_length_b 4.069
_cell_length_c 10.692
_cell_angle_alpha 90.00
_cell_angle_beta 90.00
_cell_angle_gamma 90.00
_symmetry_space_group_name_H-M 'P -4 m 2'
_symmetry_Int_Tables_number 115
loop_
_symmetry_equiv_pos_as_xyz
'x,y,z'
'y,-x,-z'
'-x,-y,z'
'-y,x,-z'
'-x,y,z'
'-y,-x,-z'
'x,-y,z'
'y,x,-z'
loop_
_atom_site_label
_atom_site_fract_x
_atom_site_fract_y
_atom_site_fract_z
Pr1 0.000 0.500 0.247
P1 0.000 0.000 0.000
P2 0.000 0.500 0.624
Rh1 0.000 0.000 0.500
Rh2 0.000 0.500 0.834
Rh3 0.500 0.500 0.500
Au1 0.500 0.500 0.000

(4)
# PBE Pu2Ga7Rh, relaxed
# DOS(E_F) = 22.46 states/eV per cell
# calculated formation energy = -355 meV/atom
data_Pu2Ga7Rh
_cell_length_a 4.174
_cell_length_b 4.174
_cell_length_c 10.886
_cell_angle_alpha 90.00
_cell_angle_beta 90.00
_cell_angle_gamma 90.00
_symmetry_space_group_name_H-M 'P -4 m 2'
_symmetry_Int_Tables_number 115
loop_
_symmetry_equiv_pos_as_xyz
'x,y,z'
'y,-x,-z'
'-x,-y,z'
'-y,x,-z'
'-x,y,z'
'-y,-x,-z'
'x,-y,z'
'y,x,-z'
loop_
_atom_site_label
_atom_site_fract_x
_atom_site_fract_y
_atom_site_fract_z
Pu1 0.000 0.500 0.247
Ga1 0.000 0.000 0.000
Ga2 0.000 0.000 0.500
Ga3 0.000 0.500 0.643
Ga4 0.000 0.500 0.868
Ga5 0.500 0.500 0.500
Rh1 0.500 0.500 0.000

(5)
# PBE HoTe2H, relaxed
# excess energy over the best structure of this formula in the dataset = 10 meV per atom
data_HoTe2H
_cell_length_a 4.387
_cell_length_b 7.820
_cell_length_c 7.913
_cell_angle_alpha 108.96
_cell_angle_beta 90.01
_cell_angle_gamma 106.23
_symmetry_space_group_name_H-M 'P 1'
_symmetry_Int_Tables_number 1
loop_
_symmetry_equiv_pos_as_xyz
'x,y,z'
loop_
_atom_site_label
_atom_site_fract_x
_atom_site_fract_y
_atom_site_fract_z
Ho1 0.000 0.000 0.000
Ho2 0.421 0.000 0.500
Te1 0.053 0.250 0.402
Te2 0.389 0.781 0.105
Te3 0.618 0.251 0.902
Te4 0.813 0.781 0.605
H1 0.315 0.471 0.500
H2 0.574 0.471 0.999

(6)
# PBE SrTe2Cl, relaxed
# excess energy over the best structure of this formula in the dataset = 453 meV per atom
# E_form (uncorrected) = -3.170 eV/f.u.
# DOS(E_F) = 9.32 states/eV per cell
data_SrTe2Cl
_cell_length_a 5.533
_cell_length_b 5.533
_cell_length_c 7.987
_cell_angle_alpha 90.00
_cell_angle_beta 90.00
_cell_angle_gamma 90.00
_symmetry_space_group_name_H-M 'I -4 m 2'
_symmetry_Int_Tables_number 119
_symmetry_space_group_name_Hall 'I -4 -2'
loop_
_atom_site_label
_atom_site_fract_x
_atom_site_fract_y
_atom_site_fract_z
Sr1 0.000 0.000 0.000
Te1 0.000 0.000 0.500
Te2 0.000 0.500 0.750
Cl1 0.000 0.500 0.250

(7)
# PBE BaCa2Be, relaxed
# DOS(E_F) = 5.33 states/eV per cell
# calculated formation energy = 462 meV/atom
data_BaCa2Be
_cell_length_a 5.007
_cell_length_b 5.007
_cell_length_c 5.697
_cell_angle_alpha 90.00
_cell_angle_beta 90.00
_cell_angle_gamma 90.00
_symmetry_space_group_name_H-M 'P 4/m m m'
_symmetry_Int_Tables_number 123
_symmetry_space_group_name_Hall '-P 4 2'
loop_
_atom_site_label
_atom_site_fract_x
_atom_site_fract_y
_atom_site_fract_z
Ba1 0.000 0.000 0.000
Ca1 0.000 0.500 0.500
Be1 0.500 0.500 0.000

(8)
# PBE Tb2SeO, relaxed
# excess energy over the best structure of this formula in the dataset = 0 meV per atom
# E_form (uncorrected) = -8.810 eV/f.u.
# DOS(E_F) = 1.62 states/eV per cell
data_Tb2SeO
_cell_length_a 3.6978
_cell_length_b 3.6978
_cell_length_c 19.3474
_cell_angle_alpha 90.00
_cell_angle_beta 90.00
_cell_angle_gamma 120.00
_symmetry_space_group_name_H-M 'R -3 m'
_symmetry_Int_Tables_number 166
_symmetry_space_group_name_Hall '-R 3 2"'
loop_
_atom_site_label
_atom_site_fract_x
_atom_site_fract_y
_atom_site_fract_z
Tb1 0.0000 0.0000 0.2321
Se1 0.0000 0.0000 0.0000
O1 0.0000 0.0000 0.5000

(9)
# PBE LiCa2Si, relaxed
# E_form (uncorrected) = -0.788 eV/f.u.
# DOS(E_F) = 2.00 states/eV per cell
data_LiCa2Si
_cell_length_a 3.571
_cell_length_b 3.851
_cell_length_c 7.607
_cell_angle_alpha 90.00
_cell_angle_beta 90.00
_cell_angle_gamma 90.00
_symmetry_space_group_name_H-M 'P m m m'
_symmetry_Int_Tables_number 47
loop_
_symmetry_equiv_pos_as_xyz
'x,y,z'
'-x,-y,-z'
'-x,-y,z'
'x,y,-z'
'x,-y,-z'
'-x,y,z'
'-x,y,-z'
'x,-y,z'
loop_
_atom_site_label
_atom_site_fract_x
_atom_site_fract_y
_atom_site_fract_z
Li1 0.000 0.000 0.000
Ca1 0.500 0.500 0.283
Si1 0.000 0.000 0.500

(10)
# PBE SmYMgPa, relaxed
# DOS(E_F) = 35.93 states/eV per cell
# calculated formation energy = 347 meV/atom
data_SmYMgPa
_cell_length_a 7.674
_cell_length_b 7.674
_cell_length_c 7.674
_cell_angle_alpha 90.00
_cell_angle_beta 90.00
_cell_angle_gamma 90.00
_symmetry_space_group_name_H-M 'F -4 3 m'
_symmetry_Int_Tables_number 216
_symmetry_space_group_name_Hall 'F -4 2 3'
loop_
_atom_site_label
_atom_site_fract_x
_atom_site_fract_y
_atom_site_fract_z
Sm1 0.000 0.000 0.000
Y1 0.000 0.000 0.500
Mg1 0.250 0.250 0.250
Pa1 0.250 0.250 0.750

(11)
# PBE Ce2Ho3Tm6Sc, relaxed
# DOS(E_F) = 41.85 states/eV per cell
# calculated formation energy = 50 meV/atom
data_Ce2Ho3Tm6Sc
_cell_length_a 6.021
_cell_length_b 10.427
_cell_length_c 11.524
_cell_angle_alpha 90.00
_cell_angle_beta 100.02
_cell_angle_gamma 90.00
_symmetry_space_group_name_H-M 'C 1 2/m 1'
_symmetry_Int_Tables_number 12
loop_
_symmetry_equiv_pos_as_xyz
'x,y,z'
'-x,-y,-z'
'-x,y,-z'
'x,-y,z'
'x+1/2,y+1/2,z'
'-x+1/2,-y+1/2,-z'
'-x+1/2,y+1/2,-z'
'x+1/2,-y+1/2,z'
loop_
_atom_site_label
_atom_site_fract_x
_atom_site_fract_y
_atom_site_fract_z
Ce1 0.000 0.166 0.000
Ho1 0.000 0.000 0.500
Ho2 0.000 0.334 0.500
Tm1 0.249 0.334 0.247
Tm2 0.250 0.000 0.247
Sc1 0.000 0.500 0.000

(12)
# PBE BeCdReI2, relaxed
# E_form (uncorrected) = 5.986 eV/f.u.
# DOS(E_F) = 3.05 states/eV per cell
data_BeCdReI2
_cell_length_a 5.424
_cell_length_b 5.424
_cell_length_c 4.750
_cell_angle_alpha 90.00
_cell_angle_beta 90.00
_cell_angle_gamma 90.00
_symmetry_space_group_name_H-M 'P 4/m m m'
_symmetry_Int_Tables_number 123
_symmetry_space_group_name_Hall '-P 4 2'
loop_
_atom_site_label
_atom_site_fract_x
_atom_site_fract_y
_atom_site_fract_z
Be1 0.000 0.000 0.000
Cd1 0.500 0.500 0.500
Re1 0.000 0.000 0.500
I1 0.000 0.500 0.000